(1)
# Cs2NdAgCl6

Cs2NdAgCl6 after structural relaxation (PBE-GGA, OQMD).

abc: 7.7232 7.7232 7.7232
angles: 120.35 120.35 89.40
Closest atoms and distances in Å follow each position.
Sites, in units of the cell vectors:
Cl: 0.2484 0.2484 0.0000  1 Nd 2.73, 1 Ag 2.76
Cl: 0.7516 0.7516 0.0000  1 Nd 2.73, 1 Ag 2.76
Cl: 0.2732 0.7736 0.0468  1 Nd 2.73, 1 Ag 2.73
Cl: 0.7736 0.7268 0.5005  1 Nd 2.73, 1 Ag 2.73
Cl: 0.7268 0.2264 0.9532  1 Nd 2.73, 1 Ag 2.73
Cl: 0.2264 0.2732 0.4995  1 Nd 2.73, 1 Ag 2.73
Nd: 0.0000 0.0000 0.0000  6 Cl 2.73
Cs: 0.7500 0.2500 0.5000  12 Cl 3.69-4.04
Cs: 0.2500 0.7500 0.5000  12 Cl 3.69-4.04
Ag: 0.5000 0.5000 0.0000  6 Cl 2.73-2.76

Output
- Raw total energy: -3.875 eV per atom
- Spin magnetization: 0.00 μB per formula unit
- SG: No. 87
- Mass density: 3.7 g/cm³


(2)
# La4Sm3

La4Sm3 after structural relaxation (PBE-GGA, OQMD).

abc: 8.6998 8.6998 8.6998
angles: 109.47 109.47 109.47
Closest atoms and distances in Å follow each position.
Sites, in units of the cell vectors:
La: 0.0000 0.8484 0.5000  6 Sm 3.40-3.56
La: 0.8484 0.5000 0.0000  6 Sm 3.40-3.56
La: 0.1516 0.1516 0.1516  6 Sm 3.40-3.56
La: 0.5000 0.0000 0.8484  6 Sm 3.40-3.56
La: 0.3484 0.5000 0.0000  6 Sm 3.40-3.56
La: 0.6516 0.6516 0.6516  6 Sm 3.40-3.56
La: 0.5000 0.0000 0.3484  6 Sm 3.40-3.56
La: 0.0000 0.3484 0.5000  6 Sm 3.40-3.56
Sm: 0.7500 0.8750 0.1250  8 La 3.40-3.56
Sm: 0.6250 0.3750 0.2500  8 La 3.40-3.56
Sm: 0.2500 0.6250 0.3750  8 La 3.40-3.56
Sm: 0.1250 0.7500 0.8750  8 La 3.40-3.56
Sm: 0.3750 0.2500 0.6250  8 La 3.40-3.56
Sm: 0.8750 0.1250 0.7500  8 La 3.40-3.56

Output
- Raw total energy: -4.565 eV per atom
- Spin magnetization: 0.04 μB per formula unit
- SG: No. 220
- Mass density: 6.6 g/cm³
- Formation energy: 267 meV per atom


(3)
# RbNaAgAs

RbNaAgAs after structural relaxation (PBE-GGA, OQMD).

abc: 6.2947 6.2947 5.9205
angles: 90.08 90.08 77.91
Closest atoms and distances in Å follow each position.
Sites, in units of the cell vectors:
Na: 0.9819 0.6735 0.5010  4 As 3.31-3.57, 1 Na 3.37, 2 Ag 3.48-3.49, 2 Rb 3.70
Na: 0.3265 0.0181 0.4990  4 As 3.31-3.57, 1 Na 3.37, 2 Ag 3.48-3.49, 2 Rb 3.70
Rb: 0.6865 0.9644 0.9998  4 As 3.35-3.52, 1 Rb 3.42, 4 Ag 3.67-3.70, 3 Na 3.70-3.76
Rb: 0.0356 0.3135 0.0002  4 As 3.35-3.52, 1 Rb 3.42, 4 Ag 3.67-3.70, 3 Na 3.70-3.76
Ag: 0.4921 0.5080 0.2520  2 As 2.56
Ag: 0.4920 0.5079 0.7480  2 As 2.56
As: 0.7569 0.2431 0.5000  2 Ag 2.56
As: 0.2285 0.7715 0.0000  2 Ag 2.56

Output
- Raw total energy: -2.751 eV per atom
- SG: No. 5
- Mass density: 4.2 g/cm³


(4)
# ZnPbSO

ZnPbSO after structural relaxation (PBE-GGA, OQMD).

abc: 4.0809 4.0809 8.4555
angles: 90.00 90.00 90.00
Closest atoms and distances in Å follow each position.
Sites, in units of the cell vectors:
S: 0.2500 0.2500 0.1451  1 Zn 2.46
S: 0.7500 0.7500 0.8549  1 Zn 2.46
Zn: 0.2500 0.2500 0.4366  4 O 2.11
Zn: 0.7500 0.7500 0.5634  4 O 2.11
Pb: 0.7500 0.7500 0.1923  5 S 2.85-2.91, 1 Zn 3.14
Pb: 0.2500 0.2500 0.8077  5 S 2.85-2.91, 1 Zn 3.14
O: 0.2500 0.7500 0.5000  4 Zn 2.11
O: 0.7500 0.2500 0.5000  4 Zn 2.11

Output
- Raw total energy: -4.341 eV per atom
- SG: No. 129
- Mass density: 7.6 g/cm³


(5)
# YTlCu2

YTlCu2 after structural relaxation (PBE-GGA, OQMD).

abc: 4.7785 4.7785 4.7785
angles: 60.00 60.00 60.00
Closest atoms and distances in Å follow each position.
Sites, in units of the cell vectors:
Tl: 0.5000 0.5000 0.5000  4 Y 2.93, 4 Cu 2.93
Cu: 0.7500 0.7500 0.7500  4 Cu 2.93, 4 Tl 2.93
Cu: 0.0000 0.0000 0.0000  4 Cu 2.93, 4 Y 2.93
Y: 0.2500 0.2500 0.2500  4 Tl 2.93, 4 Cu 2.93

Output
- Raw total energy: -4.091 eV per atom
- Spin magnetization: 0.00 μB per formula unit
- SG: No. 216
- Mass density: 9.0 g/cm³


(6)
# Sb2PtAu

Sb2PtAu after structural relaxation (PBE-GGA, OQMD).

abc: 4.9299 4.9299 4.9299
angles: 60.00 60.00 60.00
Closest atoms and distances in Å follow each position.
Sites, in units of the cell vectors:
Au: 0.5000 0.5000 0.5000  4 Sb 3.02, 4 Pt 3.02
Pt: 0.7500 0.7500 0.7500  4 Sb 3.02, 4 Au 3.02
Sb: 0.2500 0.2500 0.2500  4 Sb 3.02, 4 Au 3.02
Sb: 0.0000 0.0000 0.0000  4 Sb 3.02, 4 Pt 3.02

Output
- Raw total energy: -4.177 eV per atom
- Spin magnetization: 0.00 μB per formula unit
- SG: No. 216
- Mass density: 12.5 g/cm³